[1]
First-principles (PBE) data for a geometry-optimized TaMn structure, as listed in the Alexandria database.

Unit cell a=5.569 b=5.569 c=5.569 alpha=90.00 beta=90.00 gamma=90.00
Sites, in units of the cell vectors:
Ta (0.000, 0.000, 0.000)
Ta (0.000, 0.500, 0.500)
Ta (0.500, 0.000, 0.500)
Ta (0.500, 0.500, 0.000)
Mn (0.250, 0.250, 0.250)
Mn (0.250, 0.750, 0.750)
Mn (0.750, 0.250, 0.750)
Mn (0.750, 0.750, 0.250)

Crystal system: cubic
Formation enthalpy at 0 K, meV per atom: 1959.3

[2]
First-principles (PBE) data for a geometry-optimized Rb3CdTe2O8 structure, as listed in the Alexandria database.

Unit cell a=6.298 b=6.298 c=8.118 alpha=90.00 beta=90.00 gamma=120.00
Sites, in units of the cell vectors:
Rb (0.000, 0.000, 0.000)
Rb (0.333, 0.667, 0.673)
Rb (0.667, 0.333, 0.327)
Cd (0.000, 0.000, 0.500)
Te (0.333, 0.667, 0.235)
Te (0.667, 0.333, 0.765)
O (0.172, 0.344, 0.321)
O (0.172, 0.828, 0.321)
O (0.333, 0.667, 0.007)
O (0.344, 0.172, 0.679)
O (0.656, 0.828, 0.321)
O (0.667, 0.333, 0.993)
O (0.828, 0.172, 0.679)
O (0.828, 0.656, 0.679)

Energy relative to the elements, uncorrected, eV per atom: -1.23
Crystal system: trigonal

[3]
First-principles (PBE) data for a geometry-optimized GaCuS2 structure, as listed in the Alexandria database.

Unit cell a=5.367 b=5.367 c=10.622 alpha=90.00 beta=90.00 gamma=90.00
Sites, in units of the cell vectors:
Ga (0.000, 0.000, 0.000)
Ga (0.000, 0.500, 0.250)
Ga (0.500, 0.000, 0.750)
Ga (0.500, 0.500, 0.500)
Cu (0.000, 0.000, 0.500)
Cu (0.000, 0.500, 0.750)
Cu (0.500, 0.000, 0.250)
Cu (0.500, 0.500, 0.000)
S (0.249, 0.250, 0.625)
S (0.250, 0.749, 0.875)
S (0.250, 0.751, 0.375)
S (0.251, 0.250, 0.125)
S (0.749, 0.750, 0.125)
S (0.750, 0.249, 0.375)
S (0.750, 0.251, 0.875)
S (0.751, 0.750, 0.625)

Energy relative to the elements, uncorrected, eV per atom: -0.58
Crystal system: tetragonal

[4]
First-principles (PBE) data for a geometry-optimized Ca3C5 structure, as listed in the Alexandria database.

Unit cell a=5.401 b=8.367 c=4.895 alpha=90.00 beta=90.00 gamma=90.00
Sites, in units of the cell vectors:
Ca (0.000, 0.000, 0.000)
Ca (0.000, 0.321, 0.500)
Ca (0.000, 0.679, 0.500)
Ca (0.500, 0.179, 0.500)
Ca (0.500, 0.500, 0.000)
Ca (0.500, 0.821, 0.500)
C (0.000, 0.500, 0.000)
C (0.117, 0.000, 0.500)
C (0.250, 0.250, 0.000)
C (0.250, 0.750, 0.000)
C (0.383, 0.500, 0.500)
C (0.500, 0.000, 0.000)
C (0.617, 0.500, 0.500)
C (0.750, 0.250, 0.000)
C (0.750, 0.750, 0.000)
C (0.883, 0.000, 0.500)

Crystal system: orthorhombic
Distance to the lowest polymorph of the same formula, meV per atom: 757
Formation enthalpy at 0 K, meV per atom: 1233.6

[5]
First-principles (PBE) data for a geometry-optimized Ta2BeZn structure, as listed in the Alexandria database.

Unit cell a=2.825 b=3.745 c=5.634 alpha=90.00 beta=90.00 gamma=90.00
Sites, in units of the cell vectors:
Ta (0.000, 0.000, 0.241)
Ta (0.000, 0.000, 0.759)
Be (0.500, 0.500, 0.000)
Zn (0.500, 0.500, 0.500)

Crystal system: orthorhombic
Distance to the lowest polymorph of the same formula, meV per atom: 57
Formation enthalpy at 0 K, meV per atom: 49.8

[6]
First-principles (PBE) data for a geometry-optimized RbNaGa2Rh structure, as listed in the Alexandria database.

Unit cell a=4.857 b=4.857 c=5.630 alpha=90.00 beta=90.00 gamma=90.00
Sites, in units of the cell vectors:
Rb (0.000, 0.000, 0.000)
Na (0.500, 0.500, 0.000)
Ga (0.000, 0.500, 0.500)
Ga (0.500, 0.000, 0.500)
Rh (0.500, 0.500, 0.500)

Crystal system: tetragonal
Formation enthalpy at 0 K, meV per atom: -224.8

In order of appearance, final energy = -68.41, -66.94, -70.82, -84.51, -28.51, -16.82 eV per cell.
In order of appearance, magnetization = 5.0, 0.0, 0.0, 2.8, 0.0, 0.0 Bohr magnetons per cell.